DFT (PBE) results for LiTm5Pt6 after structural relaxation.

```
LiTm5Pt6
1.0
-0.650 -1.611 4.485
5.364 -5.207 -3.674
1.845 8.101 0.595
Tm Pt Li
5 6 1
Direct
0.500 0.844 0.156
0.500 0.156 0.844
0.000 0.331 0.669
0.000 0.669 0.331
0.500 0.500 0.500
0.257 0.427 0.086
0.257 0.086 0.427
0.743 0.573 0.914
0.236 0.736 0.736
0.743 0.914 0.573
0.764 0.264 0.264
0.000 0.000 0.000
```

Output
Magnetic moment   0.000 μB per atom
DFT formation energy   -1190 meV/atom